# 1
{"formula": "PmCdSnPt3", "functional": "PBE", "state": "optimized geometry", "dos_at_fermi_per_ev_cell": 6.4, "vol_a3_per_atom": 21.68, "delta_e_f_mev_per_atom": -436.6, "crystal_system": "orthorhombic", "magmom_total_mub_per_cell": 0.00, "lattice_angstrom": [[-1.833, 4.435, -3.655], [-5.521, -3.618, -1.622], [-0.398, 4.471, 5.625]], "species": ["Pt", "Sn", "Pm", "Pt", "Pt", "Pt", "Cd", "Cd", "Pt", "Pm", "Sn", "Pt"], "frac_coords": [[0.000, 0.290, 0.000], [0.750, 0.642, 0.284], [0.250, 0.675, 0.351], [0.500, 0.290, 0.000], [0.000, 0.710, 0.000], [0.250, 0.151, 0.303], [0.750, 0.084, 0.167], [0.250, 0.916, 0.833], [0.750, 0.849, 0.697], [0.750, 0.325, 0.649], [0.250, 0.358, 0.716], [0.500, 0.710, 0.000]]}

---

# 2
{"formula": "SrPmCdPt", "functional": "PBE", "state": "optimized geometry", "dos_at_fermi_per_ev_cell": 2.7, "vol_a3_per_atom": 26.31, "delta_e_f_mev_per_atom": -548.1, "crystal_system": "cubic", "magmom_total_mub_per_cell": 0.00, "lattice_angstrom": [[5.299, 0.000, 0.000], [2.650, 4.589, 0.000], [2.650, 1.530, 4.327]], "species": ["Cd", "Pm", "Pt", "Sr"], "frac_coords": [[0.250, 0.250, 0.250], [0.000, 0.000, 0.000], [0.750, 0.750, 0.750], [0.500, 0.500, 0.500]]}

---

# 3
{"formula": "TbPmCdPt", "functional": "PBE", "state": "optimized geometry", "dos_at_fermi_per_ev_cell": 3.0, "vol_a3_per_atom": 24.42, "delta_e_f_mev_per_atom": -676.3, "crystal_system": "cubic", "magmom_total_mub_per_cell": 0.00, "lattice_angstrom": [[-0.541, -4.302, -2.816], [2.981, -4.112, 0.964], [-2.055, -4.240, 2.127]], "species": ["Pm", "Cd", "Tb", "Pt"], "frac_coords": [[0.500, 0.500, 0.500], [0.250, 0.250, 0.250], [0.000, 0.000, 0.000], [0.750, 0.750, 0.750]]}